(1)
Material: LiTl2InAg
Method: DFT, PBE
State: optimized geometry

Calculated values
Energy of formation ... 352 meV/atom
Crystal system ... tetragonal
Electronic total energy ... -0.1540 Ry/atom
Size of the total moment ... 0.00 μB per cell

abc: 5.7905 5.7905 5.2752
angles: 90.00 90.00 90.00
Positions (direct):
Li 0.0000 0.0000 0.0000
Tl 0.0000 0.5000 0.5000
Tl 0.5000 0.0000 0.5000
In 0.5000 0.5000 0.5000
Ag 0.5000 0.5000 0.0000

(2)
Material: Li2TlIn2Ag2
Method: DFT, PBE
State: optimized geometry

Calculated values
Energy of formation ... -97 meV/atom
Crystal system ... trigonal
Electronic total energy ... -0.1895 Ry/atom
Size of the total moment ... 0.00 μB per cell

abc: 8.0268 8.0268 8.0268
angles: 34.20 34.20 34.20
Positions (direct):
Li 0.2186 0.2186 0.2186
Li 0.7814 0.7814 0.7814
Tl 0.5000 0.5000 0.5000
In 0.3625 0.3625 0.3625
In 0.6375 0.6375 0.6375
Ag 0.0870 0.0870 0.0870
Ag 0.9130 0.9130 0.9130

(3)
Material: Li5TlIn2Ag2
Method: DFT, PBE
State: optimized geometry

Calculated values
Energy of formation ... -183 meV/atom
Crystal system ... tetragonal
Electronic total energy ... -0.1833 Ry/atom
Size of the total moment ... 0.00 μB per cell

abc: 9.6697 9.6697 4.1732
angles: 90.00 90.00 90.00
Positions (direct):
Li 0.0000 0.5000 0.0000
Li 0.0816 0.1991 0.0000
Li 0.1991 0.9184 0.0000
Li 0.3009 0.4184 0.0000
Li 0.4184 0.6991 0.0000
Li 0.5000 0.0000 0.0000
Li 0.5816 0.3009 0.0000
Li 0.6991 0.5816 0.0000
Li 0.8009 0.0816 0.0000
Li 0.9184 0.8009 0.0000
Tl 0.0000 0.0000 0.5000
Tl 0.5000 0.5000 0.5000
In 0.1732 0.6732 0.5000
In 0.3268 0.1732 0.5000
In 0.6732 0.8268 0.5000
In 0.8268 0.3268 0.5000
Ag 0.1207 0.3793 0.5000
Ag 0.3793 0.8793 0.5000
Ag 0.6207 0.1207 0.5000
Ag 0.8793 0.6207 0.5000

(4)
Material: Li2TmIn2Ag2
Method: DFT, PBE
State: optimized geometry

Calculated values
Energy of formation ... -234 meV/atom
Crystal system ... trigonal
Electronic total energy ... -0.2217 Ry/atom
Size of the total moment ... 0.00 μB per cell

abc: 7.6708 7.6708 7.6708
angles: 36.63 36.63 36.63
Positions (direct):
Li 0.1417 0.1417 0.1417
Li 0.8583 0.8583 0.8583
Tm 0.0000 0.0000 0.0000
In 0.2700 0.2700 0.2700
In 0.7300 0.7300 0.7300
Ag 0.4218 0.4218 0.4218
Ag 0.5782 0.5782 0.5782